An optimized crystal structure of Y2CoRh2, computed with GGA-PBE.

Lattice parameters (Å, degrees): 6.8226 6.8226 4.1864 90.00 90.00 90.00
Fractional coordinates of all 10 atoms:
Y (0.1750, 0.3250, 0.0000)
Y (0.3250, 0.8250, 0.0000)
Y (0.6750, 0.1750, 0.0000)
Y (0.8250, 0.6750, 0.0000)
Co (0.0000, 0.0000, 0.5000)
Co (0.5000, 0.5000, 0.5000)
Rh (0.1396, 0.6396, 0.5000)
Rh (0.3604, 0.1396, 0.5000)
Rh (0.6396, 0.8604, 0.5000)
Rh (0.8604, 0.3604, 0.5000)

- Energy: -0.272 hartree per atom
- Energy of formation: -2.2 eV/f.u.
- Total magnetic moment: 1.6 μB per formula unit



An optimized crystal structure of PmPr6Nd4, computed with GGA-PBE.

Lattice parameters (Å, degrees): 10.0893 10.0893 10.0893 141.03 141.03 56.29
Fractional coordinates of all 11 atoms:
Pm (0.0000, 0.0000, 0.0000)
Pr (0.0000, 0.5000, 0.5000)
Pr (0.1916, 0.5496, 0.0000)
Pr (0.4504, 0.4504, 0.6420)
Pr (0.5000, 0.0000, 0.5000)
Pr (0.5496, 0.1916, 0.0000)
Pr (0.8084, 0.8084, 0.3580)
Nd (0.0102, 0.0102, 0.3787)
Nd (0.3686, 0.9898, 0.0000)
Nd (0.6314, 0.6314, 0.6213)
Nd (0.9898, 0.3686, 0.0000)

- Energy: -0.165 hartree per atom
- Energy of formation: 3.0 eV/f.u.
- Offset from the most stable computed form: 136 meV per atom
- Total magnetic moment: 0.0 μB per formula unit